The following is a PBE-GGA calculation of a relaxed structure of Sm5Y5Er2, from Alexandria.

a b c (Å): 6.062 6.064 14.462
angles (deg): 102.04 86.86 129.37
Fractional coordinates of all 12 atoms:
Sm 0.160 0.508 0.669
Sm 0.725 0.354 0.078
Y 0.540 0.262 0.803
Er 0.841 0.948 0.789
Y 0.173 0.259 0.432
Sm 0.840 0.492 0.331
Y 0.000 0.000 0.000
Y 0.827 0.741 0.568
Sm 0.500 0.000 0.500
Sm 0.275 0.646 0.922
Y 0.460 0.738 0.197
Er 0.159 0.052 0.211

Calculated values
E_form, eV/f.u.: 1.974
ΔE to the lowest computed polymorph, eV/f.u.: 1.75